Material: Al2Co3Si3O12
Method: DFT, PBE with a Hubbard U
State: optimized geometry

Calculated values
Fermi-level density of states in states/eV per atom: 0.000
VASP energy in eV/f.u.: -144.63
Calculated density in g/cm³: 4.352

Structure (CIF):
```
data_Al2Co3Si3O12
_chemical_formula_sum 'Al16 Co24 Si24 O96'
_space_group_name_H-M_alt 'I a -3 d'
_space_group_IT_number 230
_space_group_name_Hall '-I 4bd 2c 3'
_cell_length_a 11.567
_cell_length_b 11.567
_cell_length_c 11.567
_cell_angle_alpha 90.00
_cell_angle_beta 90.00
_cell_angle_gamma 90.00
loop_
_atom_site_label
_atom_site_type_symbol
_atom_site_fract_x
_atom_site_fract_y
_atom_site_fract_z
Al1 Al 0.000 0.000 0.000
Co1 Co 0.000 0.250 0.125
Si1 Si 0.000 0.250 0.375
O1 O 0.034 0.051 0.653
```